{"formula": "ZnReNi2", "functional": "GGA-PBEsol", "state": "optimized geometry", "lattice": [[2.573, 0.000, 0.000], [0.000, 3.617, 0.000], [0.000, 0.000, 5.219]], "species": ["Zn", "Re", "Ni", "Ni"], "fractional_positions": [[0.000, 0.000, 0.000], [0.500, 0.500, 0.699], [0.000, 0.000, 0.479], [0.500, 0.500, 0.220]], "formation_energy_ev_per_atom": 0.061, "sg": "Pmm2"}



{"formula": "ZnReNi2", "functional": "GGA-PBEsol", "state": "optimized geometry", "lattice": [[3.724, 0.000, 0.000], [0.000, 3.724, 0.000], [0.000, 0.000, 3.517]], "species": ["Zn", "Re", "Ni", "Ni"], "fractional_positions": [[0.000, 0.000, 0.000], [0.500, 0.500, 0.000], [0.000, 0.500, 0.500], [0.500, 0.000, 0.500]], "formation_energy_ev_per_atom": 0.225, "sg": "P4/mmm"}



{"formula": "Zn2ReNi", "functional": "GGA-PBEsol", "state": "optimized geometry", "lattice": [[2.651, 0.000, 0.000], [0.000, 3.269, 0.000], [0.000, 0.000, 5.845]], "species": ["Zn", "Zn", "Re", "Ni"], "fractional_positions": [[0.000, 0.000, 0.224], [0.000, 0.000, 0.776], [0.500, 0.500, 0.500], [0.500, 0.500, 0.000]], "e_above_lowest_polymorph_mev_per_atom": 17.9, "formation_energy_ev_per_atom": 0.126, "sg": "Pmmm"}



> What is the formula in the third record?

Zn2ReNi